Record 1
Entry from Alexandria via LeMat-Bulk: a geometry-optimized AcMgTl2Zn structure (GGA-PBE).

The value obtained for the mass density is 8.88 g cm⁻³. The formation energy is -0.21 eV/atom. For the magnetic moment, the calculation gives 0.00 μB/f.u.

Cell lengths 6.991, 6.991, 6.991 Å; angles 140.74, 140.74, 56.73 degrees
Fractional positions:
Ac 0.000 0.000 0.000
Mg 0.250 0.750 0.500
Tl 0.380 0.380 0.000
Tl 0.620 0.620 0.000
Zn 0.750 0.250 0.500

---

Record 2
Entry from Alexandria via LeMat-Bulk: a geometry-optimized ScHg2Cl structure (GGA-PBE).

The uncorrected formation energy comes out at -478 meV/atom. The value obtained for the mass density is 6.75 g cm⁻³. For the magnetic moment, the calculation gives 0.00 μB/f.u.

Cell lengths 7.340, 7.340, 7.340 Å; angles 96.57, 96.57, 140.47 degrees
Fractional positions:
Sc 0.000 0.000 0.000
Sc 0.750 0.250 0.500
Hg 0.034 0.625 0.909
Hg 0.375 0.284 0.409
Hg 0.716 0.125 0.091
Hg 0.875 0.966 0.591
Cl 0.250 0.750 0.500
Cl 0.500 0.500 0.000

---

Record 3
Entry from Alexandria via LeMat-Bulk: a geometry-optimized K3Sc3GeSe8 structure (GGA-PBE).

The uncorrected formation energy comes out at -1306 meV/atom. The value obtained for the mass density is 3.80 g cm⁻³. For the magnetic moment, the calculation gives 0.00 μB/f.u.

Cell lengths 7.853, 7.853, 9.051 Å; angles 115.75, 115.75, 59.93 degrees
Fractional positions:
K 0.000 0.000 0.000
K 0.000 0.500 0.000
K 0.500 0.000 0.000
Sc 0.000 0.500 0.500
Sc 0.500 0.000 0.500
Sc 0.500 0.500 0.500
Ge 0.000 0.000 0.500
Se 0.225 0.225 0.689
Se 0.225 0.739 0.689
Se 0.261 0.775 0.311
Se 0.268 0.268 0.305
Se 0.732 0.732 0.695
Se 0.739 0.225 0.689
Se 0.775 0.261 0.311
Se 0.775 0.775 0.311

---

Record 4
Entry from Alexandria via LeMat-Bulk: a geometry-optimized YOs4Br structure (GGA-PBE).

The uncorrected formation energy comes out at 707 meV/atom. The value obtained for the mass density is 14.29 g cm⁻³. For the magnetic moment, the calculation gives 1.39 μB/f.u.

Cell lengths 5.346, 5.346, 5.346 Å; angles 60.00, 60.00, 60.00 degrees
Fractional positions:
Y 0.000 0.000 0.000
Os 0.375 0.375 0.375
Os 0.375 0.375 0.875
Os 0.375 0.875 0.375
Os 0.875 0.375 0.375
Br 0.750 0.750 0.750

---

Record 5
Entry from Alexandria via LeMat-Bulk: a geometry-optimized TlSbP2O structure (GGA-PBE).

The uncorrected formation energy comes out at 814 meV/atom. The value obtained for the mass density is 6.08 g cm⁻³. For the magnetic moment, the calculation gives 0.09 μB/f.u.

Cell lengths 5.173, 5.173, 4.124 Å; angles 90.00, 90.00, 90.00 degrees
Fractional positions:
Tl 0.000 0.000 0.000
Sb 0.500 0.500 0.500
P 0.000 0.500 0.000
P 0.500 0.000 0.000
O 0.000 0.000 0.500

---

Record 6
Entry from Alexandria via LeMat-Bulk: a geometry-optimized ScCdFe2 structure (GGA-PBE).

The value obtained for the mass density is 6.92 g cm⁻³. The formation energy is 0.16 eV/atom. For the magnetic moment, the calculation gives 4.15 μB/f.u.

Cell lengths 4.504, 4.504, 4.504 Å; angles 60.00, 60.00, 60.00 degrees
Fractional positions:
Sc 0.000 0.000 0.000
Cd 0.750 0.750 0.750
Fe 0.250 0.250 0.250
Fe 0.500 0.500 0.500

---

Record 7
Entry from Alexandria via LeMat-Bulk: a geometry-optimized KBe2Tc structure (GGA-PBE).

The value obtained for the mass density is 4.17 g cm⁻³. The formation energy is 0.92 eV/atom. For the magnetic moment, the calculation gives 0.00 μB/f.u.

Cell lengths 9.758, 9.758, 9.758 Å; angles 16.02, 16.02, 16.02 degrees
Fractional positions:
K 0.000 0.000 0.000
Be 0.230 0.230 0.230
Be 0.502 0.502 0.502
Tc 0.769 0.769 0.769

---

Record 8
Entry from Alexandria via LeMat-Bulk: a geometry-optimized CsFe2SnPt structure (GGA-PBE).

The value obtained for the mass density is 6.96 g cm⁻³. The formation energy is 2.39 eV/atom. For the magnetic moment, the calculation gives 4.62 μB/f.u.

Cell lengths 4.693, 4.693, 6.047 Å; angles 90.00, 90.00, 90.00 degrees
Fractional positions:
Cs 0.000 0.000 0.000
Fe 0.000 0.500 0.000
Fe 0.500 0.000 0.000
Sn 0.000 0.000 0.500
Pt 0.500 0.500 0.500

---

Record 9
Entry from Alexandria via LeMat-Bulk: a geometry-optimized Ni5SbPt structure (GGA-PBE).

The uncorrected formation energy comes out at 20 meV/atom. The value obtained for the mass density is 10.32 g cm⁻³. For the magnetic moment, the calculation gives 0.00 μB/f.u.

Cell lengths 4.336, 4.336, 5.221 Å; angles 90.00, 90.00, 90.00 degrees
Fractional positions:
Ni 0.000 0.000 0.000
Ni 0.000 0.500 0.256
Ni 0.000 0.500 0.744
Ni 0.500 0.000 0.256
Ni 0.500 0.000 0.744
Sb 0.500 0.500 0.000
Pt 0.000 0.000 0.500

---

Record 10
Entry from Alexandria via LeMat-Bulk: a geometry-optimized Ce2Pm2N3 structure (GGA-PBE).

The uncorrected formation energy comes out at -1117 meV/atom. The value obtained for the mass density is 6.99 g cm⁻³. For the magnetic moment, the calculation gives 1.12 μB/f.u.

Cell lengths 6.670, 6.670, 6.210 Å; angles 103.71, 103.71, 32.91 degrees
Fractional positions:
Ce 0.173 0.173 0.279
Ce 0.827 0.827 0.721
Pm 0.440 0.440 0.221
Pm 0.560 0.560 0.779
N 0.000 0.000 0.000
N 0.365 0.365 0.540
N 0.635 0.635 0.460

---

Record 11
Entry from Alexandria via LeMat-Bulk: a geometry-optimized NpSnH structure (GGA-PBE).

The total energy comes out at -6.24 eV/atom. The value obtained for the mass density is 8.65 g cm⁻³. For the magnetic moment, the calculation gives 4.24 μB/f.u.

Cell lengths 4.696, 4.696, 4.696 Å; angles 123.82, 123.82, 83.50 degrees
Fractional positions:
Np 0.000 0.000 0.000
Sn 0.563 0.563 0.000
H 0.303 0.303 0.000

---

Record 12
Entry from Alexandria via LeMat-Bulk: a geometry-optimized CsUMnN4 structure (GGA-PBE).

The uncorrected formation energy comes out at -542 meV/atom. The value obtained for the mass density is 6.40 g cm⁻³. For the magnetic moment, the calculation gives 0.00 μB/f.u.

Cell lengths 5.700, 5.539, 8.291 Å; angles 90.00, 107.07, 90.00 degrees
Fractional positions:
Cs 0.219 0.250 0.435
Cs 0.781 0.750 0.565
U 0.278 0.250 0.960
U 0.722 0.750 0.040
Mn 0.264 0.750 0.141
Mn 0.736 0.250 0.859
N 0.051 0.750 0.949
N 0.067 0.750 0.260
N 0.480 0.512 0.156
N 0.480 0.988 0.156
N 0.520 0.012 0.844
N 0.520 0.488 0.844
N 0.933 0.250 0.740
N 0.949 0.250 0.051

---

Volume? In order: 27.1 29.6 27.9 18.0 22.1 16.2 15.4 26.6 14.0 20.8 22.8 17.9 A^3/atom.